[1]
! RbAs2C | the Alexandria database | GGA-PBE | relaxed; values from VASP
&SYSTEM
  ibrav = 0, nat = 8, ntyp = 3
/
ATOMIC_SPECIES
Rb 85.47 Rb.upf
As 74.92 As.upf
C 12.01 C.upf
CELL_PARAMETERS angstrom
-3.451 3.451 3.878
3.451 -3.451 3.878
3.451 3.451 -3.878
ATOMIC_POSITIONS angstrom
Rb 0.000 0.000 0.000
Rb 0.000 3.451 1.939
As 1.725 -0.755 2.909
As 2.695 1.725 0.970
As 1.725 4.206 -0.970
As 0.755 1.725 4.848
C 3.451 0.000 1.939
C 0.000 0.000 3.878
! crystal system	tetragonal
! energy of formation	0.654	eV/atom



[2]
! RbAsCSe2 | the Alexandria database | GGA-PBE | relaxed; values from VASP
&SYSTEM
  ibrav = 0, nat = 5, ntyp = 4
/
ATOMIC_SPECIES
Rb 85.47 Rb.upf
As 74.92 As.upf
C 12.01 C.upf
Se 78.96 Se.upf
CELL_PARAMETERS angstrom
6.716 0.000 0.000
0.000 6.716 0.000
0.000 0.000 7.180
ATOMIC_POSITIONS angstrom
Rb 0.000 0.000 0.000
As 0.000 0.000 3.590
C 3.358 3.358 3.590
Se 0.000 3.358 0.000
Se 3.358 0.000 0.000
! excess energy over the best structure of this formula in the dataset	1.813	eV/atom
! crystal system	tetragonal



[3]
! RbAsCSe2 | the Alexandria database | GGA-PBE | relaxed; values from VASP
&SYSTEM
  ibrav = 0, nat = 5, ntyp = 4
/
ATOMIC_SPECIES
Rb 85.47 Rb.upf
As 74.92 As.upf
C 12.01 C.upf
Se 78.96 Se.upf
CELL_PARAMETERS angstrom
5.086 0.000 0.000
0.000 5.086 0.000
0.000 0.000 4.227
ATOMIC_POSITIONS angstrom
Rb 0.000 0.000 0.000
As 2.543 2.543 0.000
C 2.543 2.543 2.114
Se 0.000 2.543 2.114
Se 2.543 0.000 2.114
! excess energy over the best structure of this formula in the dataset	0.000	eV/atom
! crystal system	tetragonal



[4]
! RbAs2CSe | the Alexandria database | GGA-PBE | relaxed; values from VASP
&SYSTEM
  ibrav = 0, nat = 5, ntyp = 4
/
ATOMIC_SPECIES
Rb 85.47 Rb.upf
As 74.92 As.upf
C 12.01 C.upf
Se 78.96 Se.upf
CELL_PARAMETERS angstrom
5.693 0.000 0.000
0.000 5.693 0.000
0.000 0.000 5.742
ATOMIC_POSITIONS angstrom
Rb 0.000 0.000 0.000
As 0.000 2.847 0.000
As 2.847 0.000 0.000
C 2.847 2.847 2.871
Se 0.000 0.000 2.871
! excess energy over the best structure of this formula in the dataset	2.074	eV/atom
! crystal system	tetragonal



[5]
! RbAs2CSe | the Alexandria database | GGA-PBE | relaxed; values from VASP
&SYSTEM
  ibrav = 0, nat = 5, ntyp = 4
/
ATOMIC_SPECIES
Rb 85.47 Rb.upf
As 74.92 As.upf
C 12.01 C.upf
Se 78.96 Se.upf
CELL_PARAMETERS angstrom
4.481 0.000 0.000
0.000 4.481 0.000
0.000 0.000 5.554
ATOMIC_POSITIONS angstrom
Rb 0.000 0.000 0.000
As 0.000 2.240 2.777
As 2.240 0.000 2.777
C 2.240 2.240 2.777
Se 2.240 2.240 0.000
! excess energy over the best structure of this formula in the dataset	0.000	eV/atom
! crystal system	tetragonal



[6]
! RbTeAsC2 | the Alexandria database | GGA-PBE | relaxed; values from VASP
&SYSTEM
  ibrav = 0, nat = 5, ntyp = 4
/
ATOMIC_SPECIES
Rb 85.47 Rb.upf
Te 127.60 Te.upf
As 74.92 As.upf
C 12.01 C.upf
CELL_PARAMETERS angstrom
4.768 0.000 0.000
0.000 4.768 0.000
0.000 0.000 7.268
ATOMIC_POSITIONS angstrom
Rb 0.000 0.000 0.000
Te 2.384 2.384 3.634
As 0.000 0.000 3.634
C 0.000 2.384 0.000
C 2.384 0.000 0.000
! electronic total energy	-2.282	eV per atom
! crystal system	tetragonal